[1]
{
  "formula": "RhWSe2",
  "functional": "PBE-GGA",
  "state": "relaxed",
  "total_energy_ev_per_atom": -7.0183,
  "dos_ef_per_ev_atom": 0.25,
  "space_group": "No. 8",
  "magnetic_moment_mub_per_atom": 0.0000,
  "polymorph_energy_mev_per_atom": 18,
  "lattice": [[-3.7978, -5.2650, 1.6839], [1.4246, -0.0956, 2.9141], [-11.2309, 10.3956, 5.8312]],
  "species": ["W", "W", "W", "W", "Se", "Se", "Se", "Se", "Se", "Se", "Se", "Se", "Rh", "Rh", "Rh", "Rh"],
  "frac_coords": [[0.3694, 0.5000, 0.3508], [0.3694, 0.0000, 0.8508], [0.0716, 0.0000, 0.4018], [0.0716, 0.5000, 0.9018], [0.2033, 0.5000, 0.7519], [0.5592, 0.0000, 0.5824], [0.0100, 0.5000, 0.5209], [0.5592, 0.5000, 0.0824], [0.7845, 0.0000, 0.8325], [0.0100, 0.0000, 0.0209], [0.2033, 0.0000, 0.2519], [0.7845, 0.5000, 0.3325], [0.6357, 0.5000, 0.9293], [0.6357, 0.0000, 0.4293], [0.3684, 0.5000, 0.5064], [0.3684, 0.0000, 0.0064]]
}

[2]
{
  "formula": "RhWSe2",
  "functional": "PBE-GGA",
  "state": "relaxed",
  "total_energy_ev_per_atom": -6.1853,
  "dos_ef_per_ev_atom": 0.77,
  "space_group": "No. 216",
  "magnetic_moment_mub_per_atom": 0.0000,
  "polymorph_energy_mev_per_atom": 851,
  "lattice": [[-1.1901, 1.0877, 4.2603], [0.1379, -3.1579, 3.2800], [3.1722, 0.2395, 3.2602]],
  "species": ["W", "Rh", "Se", "Se"],
  "frac_coords": [[0.7500, 0.7500, 0.7500], [0.5000, 0.5000, 0.5000], [0.0000, 0.0000, 0.0000], [0.2500, 0.2500, 0.2500]]
}